# LaCu6 PBE-GGA optimized geometry
# **Size of the total moment**: 0.00 μB/cell
# **Excess energy over the best structure of this formula in the dataset**: 471 meV per atom
# **Energy of formation from the pure elements**: 336 meV/atom
data_LaCu6
_chemical_formula_sum 'La2 Cu12'
_symmetry_space_group_name_H-M 'I m -3 m'
_symmetry_Int_Tables_number 229
_symmetry_space_group_name_Hall '-I 4 2 3'
_cell_length_a 6.458
_cell_length_b 6.458
_cell_length_c 6.458
_cell_angle_alpha 90.00
_cell_angle_beta 90.00
_cell_angle_gamma 90.00
loop_
_atom_site_label
_atom_site_fract_x
_atom_site_fract_y
_atom_site_fract_z
La1 0.000 0.000 0.000
Cu1 0.000 0.250 0.500

---

# TlNiPdRh PBE-GGA optimized geometry
# **Size of the total moment**: 3.81 μB/cell
# **Energy of formation from the pure elements**: 92 meV/atom
data_TlNiPdRh
_chemical_formula_sum 'Tl4 Ni4 Pd4 Rh4'
_symmetry_space_group_name_H-M 'F -4 3 m'
_symmetry_Int_Tables_number 216
_symmetry_space_group_name_Hall 'F -4 2 3'
_cell_length_a 6.330
_cell_length_b 6.330
_cell_length_c 6.330
_cell_angle_alpha 90.00
_cell_angle_beta 90.00
_cell_angle_gamma 90.00
loop_
_atom_site_label
_atom_site_fract_x
_atom_site_fract_y
_atom_site_fract_z
Tl1 0.000 0.000 0.000
Ni1 0.000 0.000 0.500
Pd1 0.250 0.250 0.250
Rh1 0.250 0.250 0.750

---

# ThTc3C2 PBE-GGA optimized geometry
# **Size of the total moment**: 0.00 μB/cell
# **Energy of formation from the pure elements**: -4 meV/atom
data_ThTc3C2
_chemical_formula_sum 'Th4 Tc12 C8'
_symmetry_space_group_name_H-M 'C 1 2/m 1'
_symmetry_Int_Tables_number 12
_cell_length_a 13.083
_cell_length_b 3.783
_cell_length_c 7.728
_cell_angle_alpha 90.00
_cell_angle_beta 115.91
_cell_angle_gamma 90.00
loop_
_symmetry_equiv_pos_as_xyz
'x,y,z'
'-x,-y,-z'
'-x,y,-z'
'x,-y,z'
'x+1/2,y+1/2,z'
'-x+1/2,-y+1/2,-z'
'-x+1/2,y+1/2,-z'
'x+1/2,-y+1/2,z'
loop_
_atom_site_label
_atom_site_fract_x
_atom_site_fract_y
_atom_site_fract_z
Th1 0.131 0.000 0.033
Tc1 0.065 0.000 0.402
Tc2 0.106 0.500 0.680
Tc3 0.208 0.500 0.381
C1 0.027 0.500 0.233
C2 0.185 0.000 0.740

---

# EuErAu2 PBE-GGA optimized geometry
# **Size of the total moment**: 21.18 μB/cell
# **Excess energy over the best structure of this formula in the dataset**: 106 meV per atom
# **Energy of formation from the pure elements**: -727 meV/atom
data_EuErAu2
_chemical_formula_sum 'Eu3 Er3 Au6'
_symmetry_space_group_name_H-M 'R -3 m'
_symmetry_Int_Tables_number 166
_symmetry_space_group_name_Hall '-R 3 2"'
_cell_length_a 4.2546
_cell_length_b 4.2546
_cell_length_c 21.2071
_cell_angle_alpha 90.00
_cell_angle_beta 90.00
_cell_angle_gamma 120.00
loop_
_atom_site_label
_atom_site_fract_x
_atom_site_fract_y
_atom_site_fract_z
Eu1 0.0000 0.0000 0.0000
Er1 0.0000 0.0000 0.5000
Au1 0.0000 0.0000 0.2414

---

# Y8Tm5Mg PBE-GGA optimized geometry
# **Size of the total moment**: 0.00 μB/cell
# **Energy of formation from the pure elements**: 227 meV/atom
data_Y8Tm5Mg
_chemical_formula_sum 'Y16 Tm10 Mg2'
_symmetry_space_group_name_H-M 'I -4'
_symmetry_Int_Tables_number 82
_cell_length_a 9.560
_cell_length_b 9.560
_cell_length_c 9.936
_cell_angle_alpha 90.00
_cell_angle_beta 90.00
_cell_angle_gamma 90.00
loop_
_symmetry_equiv_pos_as_xyz
'x,y,z'
'y,-x,-z'
'-x,-y,z'
'-y,x,-z'
'x+1/2,y+1/2,z+1/2'
'y+1/2,-x+1/2,-z+1/2'
'-x+1/2,-y+1/2,z+1/2'
'-y+1/2,x+1/2,-z+1/2'
loop_
_atom_site_label
_atom_site_fract_x
_atom_site_fract_y
_atom_site_fract_z
Y1 0.068 0.326 0.092
Y2 0.088 0.181 0.754
Tm1 0.000 0.000 0.000
Tm2 0.104 0.206 0.421
Mg1 0.000 0.500 0.750

---

# HfSc5Rh4 PBE-GGA optimized geometry
# **Size of the total moment**: 0.00 μB/cell
# **Energy of formation from the pure elements**: -791 meV/atom
data_HfSc5Rh4
_chemical_formula_sum 'Hf1 Sc5 Rh4'
_symmetry_space_group_name_H-M 'P 4/m m m'
_symmetry_Int_Tables_number 123
_symmetry_space_group_name_Hall '-P 4 2'
_cell_length_a 3.225
_cell_length_b 3.225
_cell_length_c 17.354
_cell_angle_alpha 90.00
_cell_angle_beta 90.00
_cell_angle_gamma 90.00
loop_
_atom_site_label
_atom_site_fract_x
_atom_site_fract_y
_atom_site_fract_z
Hf1 0.000 0.000 0.000
Sc1 0.500 0.500 0.127
Sc2 0.500 0.500 0.313
Sc3 0.500 0.500 0.500
Rh1 0.000 0.000 0.220
Rh2 0.000 0.000 0.406

---

# Ba2SN2 PBE-GGA optimized geometry
# **Size of the total moment**: 4.48 μB/cell
# **Total DFT energy (no corrections)**: -120.4 eV per cell
data_Ba2SN2
_chemical_formula_sum 'Ba8 S4 N8'
_symmetry_space_group_name_H-M 'C 1 2/c 1'
_symmetry_Int_Tables_number 15
_cell_length_a 15.123
_cell_length_b 4.508
_cell_length_c 7.637
_cell_angle_alpha 90.00
_cell_angle_beta 103.03
_cell_angle_gamma 90.00
loop_
_symmetry_equiv_pos_as_xyz
'x,y,z'
'-x,-y,-z'
'-x,y,-z+1/2'
'x,-y,z+1/2'
'x+1/2,y+1/2,z'
'-x+1/2,-y+1/2,-z'
'-x+1/2,y+1/2,-z+1/2'
'x+1/2,-y+1/2,z+1/2'
loop_
_atom_site_label
_atom_site_fract_x
_atom_site_fract_y
_atom_site_fract_z
Ba1 0.127 0.232 0.140
S1 0.000 0.267 0.750
N1 0.228 0.346 0.527

---

# ZrTi3Sn2 PBE-GGA optimized geometry
# **Size of the total moment**: 0.00 μB/cell
# **Excess energy over the best structure of this formula in the dataset**: 0 meV per atom
# **Energy of formation from the pure elements**: -243 meV/atom
data_ZrTi3Sn2
_chemical_formula_sum 'Zr4 Ti12 Sn8'
_symmetry_space_group_name_H-M 'C 1 2/m 1'
_symmetry_Int_Tables_number 12
_cell_length_a 16.196
_cell_length_b 4.293
_cell_length_c 7.589
_cell_angle_alpha 90.00
_cell_angle_beta 113.46
_cell_angle_gamma 90.00
loop_
_symmetry_equiv_pos_as_xyz
'x,y,z'
'-x,-y,-z'
'-x,y,-z'
'x,-y,z'
'x+1/2,y+1/2,z'
'-x+1/2,-y+1/2,-z'
'-x+1/2,y+1/2,-z'
'x+1/2,-y+1/2,z'
loop_
_atom_site_label
_atom_site_fract_x
_atom_site_fract_y
_atom_site_fract_z
Zr1 0.113 0.000 0.183
Ti1 0.072 0.000 0.685
Ti2 0.115 0.500 0.503
Ti3 0.203 0.500 0.890
Sn1 0.029 0.500 0.849
Sn2 0.246 0.000 0.679

---

# AsIrBr2 PBE-GGA optimized geometry
# **Size of the total moment**: 0.00 μB/cell
# **Excess energy over the best structure of this formula in the dataset**: 476 meV per atom
data_AsIrBr2
_chemical_formula_sum 'As1 Ir1 Br2'
_symmetry_space_group_name_H-M 'P 1 2/m 1'
_symmetry_Int_Tables_number 10
_cell_length_a 4.920
_cell_length_b 3.635
_cell_length_c 7.254
_cell_angle_alpha 90.00
_cell_angle_beta 109.71
_cell_angle_gamma 90.00
loop_
_symmetry_equiv_pos_as_xyz
'x,y,z'
'-x,-y,-z'
'-x,y,-z'
'x,-y,z'
loop_
_atom_site_label
_atom_site_fract_x
_atom_site_fract_y
_atom_site_fract_z
As1 0.000 0.000 0.000
Ir1 0.500 0.000 0.000
Br1 0.372 0.500 0.743

---

# IrBr2 PBE-GGA optimized geometry
# **Size of the total moment**: 0.00 μB/cell
# **Total DFT energy (no corrections)**: -10.2 eV per cell
data_IrBr2
_chemical_formula_sum 'Ir1 Br2'
_symmetry_space_group_name_H-M 'P 4/m m m'
_symmetry_Int_Tables_number 123
_symmetry_space_group_name_Hall '-P 4 2'
_cell_length_a 4.645
_cell_length_b 4.645
_cell_length_c 3.048
_cell_angle_alpha 90.00
_cell_angle_beta 90.00
_cell_angle_gamma 90.00
loop_
_atom_site_label
_atom_site_fract_x
_atom_site_fract_y
_atom_site_fract_z
Ir1 0.000 0.000 0.000
Br1 0.000 0.500 0.500

---

# TaNi2Ru PBE-GGA optimized geometry
# **Size of the total moment**: 0.00 μB/cell
# **Excess energy over the best structure of this formula in the dataset**: 133 meV per atom
# **Energy of formation from the pure elements**: -191 meV/atom
data_TaNi2Ru
_chemical_formula_sum 'Ta1 Ni2 Ru1'
_symmetry_space_group_name_H-M 'P 4 m m'
_symmetry_Int_Tables_number 99
_cell_length_a 3.154
_cell_length_b 3.154
_cell_length_c 5.441
_cell_angle_alpha 90.00
_cell_angle_beta 90.00
_cell_angle_gamma 90.00
loop_
_symmetry_equiv_pos_as_xyz
'x,y,z'
'-y,x,z'
'-x,-y,z'
'y,-x,z'
'-x,y,z'
'y,x,z'
'x,-y,z'
'-y,-x,z'
loop_
_atom_site_label
_atom_site_fract_x
_atom_site_fract_y
_atom_site_fract_z
Ta1 0.000 0.000 0.000
Ni1 0.000 0.000 0.464
Ni2 0.500 0.500 0.257
Ru1 0.500 0.500 0.730

---

# Cu2RuCl PBE-GGA optimized geometry
# **Size of the total moment**: 1.14 μB/cell
# **Excess energy over the best structure of this formula in the dataset**: 2 meV per atom
data_Cu2RuCl
_chemical_formula_sum 'Cu6 Ru3 Cl3'
_symmetry_space_group_name_H-M 'R -3 m'
_symmetry_Int_Tables_number 166
_symmetry_space_group_name_Hall '-R 3 2"'
_cell_length_a 2.9080
_cell_length_b 2.9080
_cell_length_c 23.3961
_cell_angle_alpha 90.00
_cell_angle_beta 90.00
_cell_angle_gamma 120.00
loop_
_atom_site_label
_atom_site_fract_x
_atom_site_fract_y
_atom_site_fract_z
Cu1 0.0000 0.0000 0.2479
Ru1 0.0000 0.0000 0.0000
Cl1 0.0000 0.0000 0.5000